[1]
Na2TlIn2Hg2 | Alexandria via LeMat-Bulk | PBE | relaxed; VASP energy = -1.70 eV per atom; formation enthalpy at 0 K = -0.8 eV per formula unit; space-group type = R-3m
1.0
5.147 0.000 0.000
2.573 4.457 0.000
2.573 1.486 8.204
Na Tl In Hg
2 1 2 2
Direct
0.136 0.136 0.591 Na
0.864 0.864 0.409 Na
0.000 0.000 0.000 Tl
0.721 0.721 0.837 In
0.279 0.279 0.163 In
0.571 0.571 0.286 Hg
0.429 0.429 0.714 Hg

[2]
RbBeHgTe2 | Alexandria via LeMat-Bulk | PBE | relaxed; VASP energy = -2.50 eV per atom; formation energy (no corrections) = -0.241 eV per atom; space-group type = P2/c
1.0
7.123 0.000 0.000
0.000 8.063 -0.384
0.000 -2.702 6.455
Rb Be Hg Te
2 2 2 4
Direct
0.251 0.500 0.750 Rb
0.749 0.500 0.250 Rb
0.000 0.000 0.000 Be
0.000 0.000 0.500 Be
0.501 0.000 0.250 Hg
0.499 0.000 0.750 Hg
0.785 0.773 0.887 Te
0.785 0.227 0.613 Te
0.215 0.773 0.387 Te
0.215 0.227 0.113 Te

Q: Among the records above, which one has the highest VASP energy?
A: Na2TlIn2Hg2